No. 1
SbTe2OsAu | PBEsol | optimized geometry

Properties
Energy relative to the elements, uncorrected = 430 kJ/mol of formula units

```
data_SbTe2OsAu
_symmetry_space_group_name_H-M 'P 4/m m m'
_symmetry_Int_Tables_number 123
_symmetry_space_group_name_Hall '-P 4 2'
_cell_length_a 5.1891
_cell_length_b 5.1891
_cell_length_c 4.9985
_cell_angle_alpha 90.00
_cell_angle_beta 90.00
_cell_angle_gamma 90.00
loop_
_atom_site_label
_atom_site_type_symbol
_atom_site_fract_x
_atom_site_fract_y
_atom_site_fract_z
Sb1 Sb 0.0000 0.0000 0.0000
Te1 Te 0.0000 0.5000 0.5000
Os1 Os 0.0000 0.0000 0.5000
Au1 Au 0.5000 0.5000 0.0000
```

***

No. 2
K17Au12 | PBEsol | optimized geometry

Properties
ΔE_f = -2.38 eV/f.u.

```
data_K17Au12
_symmetry_space_group_name_H-M 'I -4 3 m'
_symmetry_Int_Tables_number 217
_symmetry_space_group_name_Hall 'I -4 2 3'
_cell_length_a 12.0250
_cell_length_b 12.0250
_cell_length_c 12.0250
_cell_angle_alpha 90.00
_cell_angle_beta 90.00
_cell_angle_gamma 90.00
loop_
_atom_site_label
_atom_site_type_symbol
_atom_site_fract_x
_atom_site_fract_y
_atom_site_fract_z
K1 K 0.0000 0.0000 0.0000
K2 K 0.0703 0.3687 0.3687
K3 K 0.1556 0.1556 0.8444
Au1 Au 0.1093 0.1093 0.2754
```

***

No. 3
Hg3PF | PBEsol | optimized geometry

Properties
Energy relative to the elements, uncorrected = -58 kJ/mol of formula units

```
data_Hg3PF
_symmetry_space_group_name_H-M 'P m -3 m'
_symmetry_Int_Tables_number 221
_symmetry_space_group_name_Hall '-P 4 2 3'
_cell_length_a 5.0221
_cell_length_b 5.0221
_cell_length_c 5.0221
_cell_angle_alpha 90.00
_cell_angle_beta 90.00
_cell_angle_gamma 90.00
loop_
_atom_site_label
_atom_site_type_symbol
_atom_site_fract_x
_atom_site_fract_y
_atom_site_fract_z
Hg1 Hg 0.0000 0.0000 0.5000
P1 P 0.0000 0.0000 0.0000
F1 F 0.5000 0.5000 0.5000
```

***

No. 4
ZrNOF2 | PBEsol | optimized geometry

Properties
Excess energy over the best structure of this formula in the dataset = 0 meV per atom
Energy relative to the elements, uncorrected = -838 kJ/mol of formula units

```
data_ZrNOF2
_symmetry_space_group_name_H-M 'P 4/m m m'
_symmetry_Int_Tables_number 123
_symmetry_space_group_name_Hall '-P 4 2'
_cell_length_a 4.1926
_cell_length_b 4.1926
_cell_length_c 3.9802
_cell_angle_alpha 90.00
_cell_angle_beta 90.00
_cell_angle_gamma 90.00
loop_
_atom_site_label
_atom_site_type_symbol
_atom_site_fract_x
_atom_site_fract_y
_atom_site_fract_z
Zr1 Zr 0.0000 0.0000 0.0000
N1 N 0.5000 0.5000 0.5000
O1 O 0.0000 0.0000 0.5000
F1 F 0.0000 0.5000 0.0000
```

***

No. 5
Li2Ni3TeO8 | PBEsol | optimized geometry

Properties
Excess energy over the best structure of this formula in the dataset = 0 meV per atom
Energy relative to the elements, uncorrected = -1596 kJ/mol of formula units

```
data_Li2Ni3TeO8
_symmetry_space_group_name_H-M 'R -3 m'
_symmetry_Int_Tables_number 166
_symmetry_space_group_name_Hall '-R 3 2"'
_cell_length_a 5.7915
_cell_length_b 5.7915
_cell_length_c 14.7126
_cell_angle_alpha 90.00
_cell_angle_beta 90.00
_cell_angle_gamma 120.00
loop_
_atom_site_label
_atom_site_type_symbol
_atom_site_fract_x
_atom_site_fract_y
_atom_site_fract_z
Li1 Li 0.0000 0.0000 0.1356
Ni1 Ni 0.0000 0.5000 0.0000
Te1 Te 0.0000 0.0000 0.5000
O1 O 0.0000 0.0000 0.2735
O2 O 0.0265 0.5132 0.2485
```

***

No. 6
NaPt | PBEsol | optimized geometry

Properties
ΔE_f = -0.23 eV/f.u.

```
data_NaPt
_symmetry_space_group_name_H-M 'R -3 m'
_symmetry_Int_Tables_number 166
_symmetry_space_group_name_Hall '-R 3 2"'
_cell_length_a 4.4100
_cell_length_b 4.4100
_cell_length_c 13.7942
_cell_angle_alpha 90.00
_cell_angle_beta 90.00
_cell_angle_gamma 120.00
loop_
_atom_site_label
_atom_site_type_symbol
_atom_site_fract_x
_atom_site_fract_y
_atom_site_fract_z
Na1 Na 0.0000 0.0000 0.1161
Pt1 Pt 0.0000 0.0000 0.3342
```

***

No. 7
Cs4Cu3F10 | PBEsol | optimized geometry

Properties
Energy relative to the elements, uncorrected = -3532 kJ/mol of formula units

```
data_Cs4Cu3F10
_symmetry_space_group_name_H-M 'C 1 2/m 1'
_symmetry_Int_Tables_number 12
_cell_length_a 13.9392
_cell_length_b 6.1278
_cell_length_c 7.8332
_cell_angle_alpha 90.00
_cell_angle_beta 116.90
_cell_angle_gamma 90.00
loop_
_symmetry_equiv_pos_as_xyz
'x,y,z'
'-x,-y,-z'
'-x,y,-z'
'x,-y,z'
'x+1/2,y+1/2,z'
'-x+1/2,-y+1/2,-z'
'-x+1/2,y+1/2,-z'
'x+1/2,-y+1/2,z'
loop_
_atom_site_label
_atom_site_type_symbol
_atom_site_fract_x
_atom_site_fract_y
_atom_site_fract_z
Cs1 Cs 0.0351 0.0000 0.2881
Cs2 Cs 0.1857 0.5000 0.7830
Cu1 Cu 0.0000 0.5000 0.0000
Cu2 Cu 0.1969 0.5000 0.3153
F1 F 0.0628 0.5000 0.3332
F2 F 0.1107 0.2851 0.0644
F3 F 0.1780 0.0000 0.7222
F4 F 0.2500 0.2500 0.5000
```

***

No. 8
CoTcOs2 | PBEsol | optimized geometry

Properties
Excess energy over the best structure of this formula in the dataset = 23 meV per atom
ΔE_f = 0.45 eV/f.u.

```
data_CoTcOs2
_symmetry_space_group_name_H-M 'P m m m'
_symmetry_Int_Tables_number 47
_cell_length_a 2.6514
_cell_length_b 3.7238
_cell_length_c 5.2963
_cell_angle_alpha 90.00
_cell_angle_beta 90.00
_cell_angle_gamma 90.00
loop_
_symmetry_equiv_pos_as_xyz
'x,y,z'
'-x,-y,-z'
'-x,-y,z'
'x,y,-z'
'x,-y,-z'
'-x,y,z'
'-x,y,-z'
'x,-y,z'
loop_
_atom_site_label
_atom_site_type_symbol
_atom_site_fract_x
_atom_site_fract_y
_atom_site_fract_z
Co1 Co 0.0000 0.0000 0.0000
Tc1 Tc 0.0000 0.0000 0.5000
Os1 Os 0.5000 0.5000 0.2386
```

***

No. 9
YCuRe2 | PBEsol | optimized geometry

Properties
Excess energy over the best structure of this formula in the dataset = 140 meV per atom
ΔE_f = 2.11 eV/f.u.

```
data_YCuRe2
_symmetry_space_group_name_H-M 'P m m m'
_symmetry_Int_Tables_number 47
_cell_length_a 2.6364
_cell_length_b 4.1243
_cell_length_c 6.1404
_cell_angle_alpha 90.00
_cell_angle_beta 90.00
_cell_angle_gamma 90.00
loop_
_symmetry_equiv_pos_as_xyz
'x,y,z'
'-x,-y,-z'
'-x,-y,z'
'x,y,-z'
'x,-y,-z'
'-x,y,z'
'-x,y,-z'
'x,-y,z'
loop_
_atom_site_label
_atom_site_type_symbol
_atom_site_fract_x
_atom_site_fract_y
_atom_site_fract_z
Y1 Y 0.0000 0.0000 0.0000
Cu1 Cu 0.0000 0.0000 0.5000
Re1 Re 0.5000 0.5000 0.3017
```

***

| no. | calculated volume (A^3/atom) |
| --- | --- |
| 1 | 26.919 |
| 2 | 29.980 |
| 3 | 25.333 |
| 4 | 13.993 |
| 5 | 10.175 |
| 6 | 19.361 |
| 7 | 17.550 |
| 8 | 13.073 |
| 9 | 16.692 |